# 1
Material: KPrUS4
Method: DFT, PBE
State: relaxed

Summary:
Space-group type: Imma (74)
Total DFT energy (no corrections) (eV per formula unit): -44.90
DOS at the Fermi energy (states/eV per cell): 9.02
E_form (uncorrected) (eV/atom): -1.60

The structure in POSCAR format:
```
KPrUS4
1.0
-4.176 4.331 6.021
4.176 -4.331 6.021
4.176 4.331 -6.021
K Pr U S
2 2 2 8
Cartesian
0.000 2.165 1.560 K
4.176 2.165 4.461 K
4.176 0.000 0.000 Pr
0.000 0.000 6.021 Pr
2.088 2.165 -3.010 U
2.088 -2.165 3.010 U
4.176 -0.404 2.866 S
4.176 3.926 -2.866 S
2.313 2.165 -0.328 S
6.040 2.165 -0.328 S
-1.864 2.165 6.349 S
1.864 2.165 6.349 S
0.000 0.404 8.887 S
0.000 4.735 3.154 S
```

---

# 2
Material: Pm5Ho2Ga4
Method: DFT, PBE
State: relaxed

Summary:
Space-group type: Immm (71)
Formation energy (eV per atom): -0.046
Total DFT energy (no corrections) (eV per formula unit): -45.53
DOS at the Fermi energy (states/eV per cell): 13.71

The structure in POSCAR format:
```
Pm5Ho2Ga4
1.0
-2.350 5.616 6.703
2.350 -5.616 6.703
2.350 5.616 -6.703
Pm Ho Ga
5 2 4
Cartesian
0.000 0.000 0.000 Pm
2.350 3.722 -1.995 Pm
2.350 3.722 1.995 Pm
0.000 1.893 4.708 Pm
0.000 1.893 8.697 Pm
2.350 0.000 2.627 Ho
0.000 5.616 4.075 Ho
2.350 1.583 0.000 Ga
2.350 0.000 5.460 Ga
0.000 5.616 1.243 Ga
0.000 4.032 6.703 Ga
```

---

# 3
Material: Ho5Tl2Ge2
Method: DFT, PBE
State: relaxed

Summary:
Space-group type: Cmce (64)
Formation energy (eV per atom): -0.588
Total DFT energy (no corrections) (eV per formula unit): -42.15
DOS at the Fermi energy (states/eV per cell): 11.78

The structure in POSCAR format:
```
Ho5Tl2Ge2
1.0
7.825 -3.893 0.000
7.825 3.893 0.000
0.000 0.000 7.767
Ho Tl Ge
10 4 4
Cartesian
0.000 0.000 0.000 Ho
5.864 2.547 5.195 Ho
5.864 1.346 1.312 Ho
9.785 2.547 5.195 Ho
9.785 1.346 1.312 Ho
7.825 0.000 3.883 Ho
5.864 -1.346 6.455 Ho
5.864 -2.547 2.571 Ho
9.785 -1.346 6.455 Ho
9.785 -2.547 2.571 Ho
3.374 0.000 0.000 Tl
4.451 0.000 3.883 Tl
11.199 0.000 3.883 Tl
12.275 0.000 0.000 Tl
7.825 2.847 2.820 Ge
7.825 1.046 6.703 Ge
7.825 -1.046 1.064 Ge
7.825 -2.847 4.947 Ge
```

---

Please write out number 1 again, unchanged.
Material: KPrUS4
Method: DFT, PBE
State: relaxed

Summary:
Space-group type: Imma (74)
Total DFT energy (no corrections) (eV per formula unit): -44.90
DOS at the Fermi energy (states/eV per cell): 9.02
E_form (uncorrected) (eV/atom): -1.60

The structure in POSCAR format:
```
KPrUS4
1.0
-4.176 4.331 6.021
4.176 -4.331 6.021
4.176 4.331 -6.021
K Pr U S
2 2 2 8
Cartesian
0.000 2.165 1.560 K
4.176 2.165 4.461 K
4.176 0.000 0.000 Pr
0.000 0.000 6.021 Pr
2.088 2.165 -3.010 U
2.088 -2.165 3.010 U
4.176 -0.404 2.866 S
4.176 3.926 -2.866 S
2.313 2.165 -0.328 S
6.040 2.165 -0.328 S
-1.864 2.165 6.349 S
1.864 2.165 6.349 S
0.000 0.404 8.887 S
0.000 4.735 3.154 S
```

---

Which value of DOS at the Fermi energy does entry 2 give? 13.71 states/eV per cell